a.
# SmPuZr

Crystalline SmPuZr at its relaxed geometry (PBE, Alexandria).

a = 3.366 Å, b = 3.366 Å, c = 8.303 Å
α = 90.00°, β = 90.00°, γ = 120.00°
Last column: magnetic moment on the atom in μB.
Positions (direct):
Pu  0.333  0.667  0.651  5.35
Zr  0.667  0.333  0.343  -0.08
Sm  0.000  0.000  0.007  0.00

## Properties
Space-group type ... P3m1, No. 156
N(E_F) ... 8.67 states/eV/f.u.
Size of the total moment ... 1.85 μB per atom



b.
# SmPuZr

Crystalline SmPuZr at its relaxed geometry (PBE, Alexandria).

a = 3.352 Å, b = 3.352 Å, c = 7.635 Å
α = 102.68°, β = 102.68°, γ = 90.00°
Last column: magnetic moment on the atom in μB.
Positions (direct):
Sm  0.671  0.671  0.341  0.03
Pu  0.990  0.990  0.979  5.39
Zr  0.340  0.340  0.680  -0.13

## Properties
Space-group type ... I4mm, No. 107
N(E_F) ... 6.38 states/eV/f.u.
Size of the total moment ... 1.87 μB per atom



Question: of the structures shown, which is the most stable? Reply: b.